# 1
# ZrAlAu2 (PBE, optimized geometry)
data_ZrAlAu2
_chemical_formula_sum 'Zr1 Al1 Au2'
_cell_length_a 3.1681
_cell_length_b 3.1681
_cell_length_c 7.2167
_cell_angle_alpha 90.00
_cell_angle_beta 90.00
_cell_angle_gamma 90.00
_symmetry_space_group_name_H-M 'P 1'
_symmetry_Int_Tables_number 1
loop_
_symmetry_equiv_pos_as_xyz
'x,y,z'
loop_
_atom_site_label
_atom_site_fract_x
_atom_site_fract_y
_atom_site_fract_z
Zr1 0.0000 0.0000 0.0000
Al1 0.0000 0.0000 0.5000
Au1 0.5000 0.5000 0.2799
Au2 0.5000 0.5000 0.7201
# ΔH_f (0 K) (kJ/mol of formula units): -187
# V (Å³/cell): 72.4



# 2
# Zr2Al3Au (PBE, optimized geometry)
data_Zr2Al3Au
_chemical_formula_sum 'Zr2 Al3 Au1'
_cell_length_a 5.3050
_cell_length_b 5.3050
_cell_length_c 5.3050
_cell_angle_alpha 60.80
_cell_angle_beta 60.80
_cell_angle_gamma 60.80
_symmetry_space_group_name_H-M 'P 1'
_symmetry_Int_Tables_number 1
loop_
_symmetry_equiv_pos_as_xyz
'x,y,z'
loop_
_atom_site_label
_atom_site_fract_x
_atom_site_fract_y
_atom_site_fract_z
Zr1 0.1233 0.1233 0.1233
Zr2 0.8767 0.8767 0.8767
Al1 0.0000 0.5000 0.5000
Al2 0.5000 0.0000 0.5000
Al3 0.5000 0.5000 0.0000
Au1 0.5000 0.5000 0.5000
# ΔH_f (0 K) (kJ/mol of formula units): -355
# V (Å³/cell): 107.5



ΔH_f (0 K) of number 1 (ZrAlAu2)?
-187 kJ/mol of formula units



ΔH_f (0 K) of number 2 (Zr2Al3Au)?
-355 kJ/mol of formula units



Which of these has the highest ΔH_f (0 K)?
ZrAlAu2